DFT (GGA-PBE) results for a geometry-optimized NaRu2Pb structure.

Lattice parameters (Å, degrees): 7.7014 7.7014 6.0615 50.56 50.56 90.00
Positions (direct):
1 Na 0.5000 0.5000 0.0000
2 Na 0.2500 0.7500 0.5000
3 Ru 0.8750 0.8952 0.7500
4 Ru 0.3750 0.3548 0.7500
5 Ru 0.1048 0.6250 0.2500
6 Ru 0.6452 0.1250 0.2500
7 Pb 0.0000 0.0000 0.0000
8 Pb 0.7500 0.2500 0.5000

Calculated values
- Energy relative to the elements: 1.047 eV per atom
- Total energy: -4.848 eV per atom

=====

DFT (GGA-PBE) results for a geometry-optimized Na3RuPb structure.

Lattice parameters (Å, degrees): 5.3650 5.3650 5.3650 90.00 90.00 90.00
Site moments in Bohr magnetons follow the coordinates.
Positions (direct):
1 Na 0.0000 0.5000 0.0000  0.01
2 Na 0.0000 0.0000 0.5000  -0.01
3 Na 0.5000 0.0000 0.0000  0.01
4 Pb 0.5000 0.5000 0.5000  -0.04
5 Ru 0.0000 0.0000 0.0000  1.42

Calculated values
- Energy above the most stable polymorph in this dataset: 0 meV per atom
- Energy relative to the elements: 0.967 eV per atom
- Total energy: -2.421 eV per atom

=====

DFT (GGA-PBE) results for a geometry-optimized NaRu3Pb structure.

Lattice parameters (Å, degrees): 4.5795 4.5795 4.5795 90.00 90.00 90.00
Site moments in Bohr magnetons follow the coordinates.
Positions (direct):
1 Na 0.0000 0.0000 0.0000  -0.01
2 Ru 0.5000 0.0000 0.0000  0.91
3 Ru 0.0000 0.5000 0.0000  1.14
4 Ru 0.0000 0.0000 0.5000  1.30
5 Pb 0.5000 0.5000 0.5000  -0.02

Calculated values
- Energy above the most stable polymorph in this dataset: 152 meV per atom
- Energy relative to the elements: 2.046 eV per atom
- Total energy: -4.525 eV per atom

=====

DFT (GGA-PBE) results for a geometry-optimized Na2SrRuPb structure.

Lattice parameters (Å, degrees): 5.7935 4.8975 5.7935 90.00 90.00 90.00
Positions (direct):
1 Na 0.5000 0.0000 0.0000
2 Na 0.0000 0.0000 0.5000
3 Pb 0.5000 0.5000 0.5000
4 Sr 0.0000 0.0000 0.0000
5 Ru 0.0000 0.5000 0.0000

Calculated values
- Energy relative to the elements: 1.079 eV per atom
- Total energy: -2.382 eV per atom

=====

DFT (GGA-PBE) results for a geometry-optimized NaSr2RuPb structure.

Lattice parameters (Å, degrees): 5.8895 5.1768 5.8895 90.00 90.00 90.00
Site moments in Bohr magnetons follow the coordinates.
Positions (direct):
1 Na 0.0000 0.0000 0.0000  0.00
2 Sr 0.5000 0.0000 0.0000  -0.04
3 Sr 0.0000 0.0000 0.5000  -0.03
4 Ru 0.5000 0.5000 0.5000  1.99
5 Pb 0.0000 0.5000 0.0000  -0.02

Calculated values
- Energy relative to the elements: 1.014 eV per atom
- Total energy: -2.519 eV per atom

=====

DFT (GGA-PBE) results for a geometry-optimized Na2TeRuPb structure.

Lattice parameters (Å, degrees): 5.6049 4.9032 5.6049 90.00 90.00 90.00
Positions (direct):
1 Na 0.5000 0.0000 0.0000
2 Na 0.0000 0.0000 0.5000
3 Ru 0.0000 0.5000 0.0000
4 Pb 0.5000 0.5000 0.5000
5 Te 0.0000 0.0000 0.0000

Calculated values
- Formation energy from raw total energies: 0.387 eV/atom
- Total energy: -3.365 eV per atom

=====

DFT (GGA-PBE) results for a geometry-optimized Na2PbS3 structure.

Lattice parameters (Å, degrees): 4.1846 6.5289 7.6466 115.27 105.88 90.00
Positions (direct):
1 S 0.3407 0.3139 0.6814
2 S 0.6593 0.6325 0.3186
3 S 0.0000 0.0296 0.0000
4 Na 0.8349 0.5791 0.6699
5 Na 0.1651 0.9092 0.3301
6 Pb 0.5000 0.2786 0.0000

Calculated values
- Formation energy from raw total energies: -0.607 eV/atom
- Total energy: -3.729 eV per atom

=====

DFT (GGA-PBE) results for a geometry-optimized NaPb3S4 structure.

Lattice parameters (Å, degrees): 4.1380 7.1925 7.1925 108.73 90.00 90.00
Positions (direct):
1 Pb 0.0000 0.5000 0.0000
2 Pb 0.0000 0.0000 0.5000
3 Pb 0.5000 0.5000 0.5000
4 Na 0.5000 0.0000 0.0000
5 S 0.5000 0.7524 0.2476
6 S 0.0000 0.7506 0.7506
7 S 0.0000 0.2494 0.2494
8 S 0.5000 0.2476 0.7524

Calculated values
- Formation energy from raw total energies: -0.576 eV/atom
- Total energy: -4.195 eV per atom

=====

DFT (GGA-PBE) results for a geometry-optimized NaPb4S5 structure.

Lattice parameters (Å, degrees): 5.8588 7.2342 7.2342 80.56 66.11 66.11
Positions (direct):
1 Pb 0.5982 0.6068 0.1988
2 Pb 0.4038 0.3932 0.8012
3 Pb 0.7970 0.8012 0.6068
4 Pb 0.2049 0.1988 0.3932
5 S 0.9023 0.4018 0.7955
6 S 0.5013 0.0000 0.0000
7 S 0.6978 0.2045 0.4018
8 S 0.0996 0.5982 0.2045
9 S 0.3040 0.7955 0.5982
10 Na 0.0015 0.0000 0.0000

Calculated values
- Formation energy from raw total energies: -0.581 eV/atom
- Total energy: -4.260 eV per atom

=====

DFT (GGA-PBE) results for a geometry-optimized NaPb2S2 structure.

Lattice parameters (Å, degrees): 7.7879 7.7879 4.2339 90.00 90.00 90.00
Positions (direct):
1 Pb 0.1562 0.6562 0.5000
2 Pb 0.3438 0.1562 0.5000
3 Pb 0.8438 0.3438 0.5000
4 Pb 0.6562 0.8438 0.5000
5 S 0.1726 0.3274 0.0000
6 S 0.8274 0.6726 0.0000
7 S 0.6726 0.1726 0.0000
8 S 0.3274 0.8274 0.0000
9 Na 0.0000 0.0000 0.0000
10 Na 0.5000 0.5000 0.0000

Calculated values
- Formation energy from raw total energies: -0.444 eV/atom
- Total energy: -3.842 eV per atom

=====

DFT (GGA-PBE) results for a geometry-optimized Na2Pb2S3 structure.

Lattice parameters (Å, degrees): 4.3181 7.1825 7.4010 109.37 106.96 90.00
Positions (direct):
1 S 0.7660 0.2458 0.5320
2 S 0.0000 0.0000 0.0000
3 S 0.2340 0.7542 0.4680
4 Pb 0.3821 0.1133 0.7641
5 Pb 0.6179 0.8867 0.2359
6 Na 0.1649 0.3388 0.3298
7 Na 0.8351 0.6612 0.6702

Calculated values
- Formation energy from raw total energies: -0.751 eV/atom
- Total energy: -3.957 eV per atom

=====

DFT (GGA-PBE) results for a geometry-optimized NaPb2S3 structure.

Lattice parameters (Å, degrees): 4.1287 5.7468 7.1945 113.54 106.67 90.00
Positions (direct):
1 S 0.5000 0.0000 0.5000
2 S 0.8277 0.3277 0.1554
3 S 0.1723 0.6723 0.8446
4 Pb 0.1641 0.1641 0.8281
5 Pb 0.8359 0.8359 0.1719
6 Na 0.5000 0.5000 0.5000

Calculated values
- Energy above the most stable polymorph in this dataset: 0 meV per atom
- Formation energy from raw total energies: -0.605 eV/atom
- Total energy: -4.125 eV per atom

=====

DFT (GGA-PBE) results for a geometry-optimized NaPbS3 structure.

Lattice parameters (Å, degrees): 5.2403 5.2403 5.2403 90.00 90.00 90.00
Positions (direct):
1 S 0.5000 0.0000 0.0000
2 S 0.0000 0.0000 0.5000
3 S 0.0000 0.5000 0.0000
4 Pb 0.0000 0.0000 0.0000
5 Na 0.5000 0.5000 0.5000

Calculated values
- Energy above the most stable polymorph in this dataset: 0 meV per atom
- Formation energy from raw total energies: 0.089 eV/atom
- Total energy: -3.393 eV per atom

=====

DFT (GGA-PBE) results for a geometry-optimized Na2PbS structure.

Lattice parameters (Å, degrees): 8.4170 8.4170 6.6857 50.99 50.99 90.00
Positions (direct):
1 Na 0.8750 0.8032 0.7500
2 Na 0.3750 0.4468 0.7500
3 Na 0.5532 0.1250 0.2500
4 Na 0.1968 0.6250 0.2500
5 Pb 0.0000 0.0000 0.0000
6 Pb 0.7500 0.2500 0.5000
7 S 0.5000 0.5000 0.0000
8 S 0.2500 0.7500 0.5000

Calculated values
- Energy above the most stable polymorph in this dataset: 0 meV per atom
- Formation energy from raw total energies: -0.390 eV/atom
- Total energy: -3.009 eV per atom

=====

DFT (GGA-PBE) results for a geometry-optimized Na4PbS2 structure.

Lattice parameters (Å, degrees): 5.4821 5.4821 8.4608 71.10 71.10 90.00
Positions (direct):
1 Na 0.7887 0.7887 0.4227
2 Na 0.5000 0.0000 0.0000
3 Na 0.2113 0.2113 0.5773
4 Na 0.0000 0.5000 0.0000
5 S 0.3866 0.3866 0.2268
6 S 0.6134 0.6134 0.7732
7 Pb 0.0000 0.0000 0.0000

Calculated values
- Formation energy from raw total energies: -0.022 eV/atom
- Total energy: -2.485 eV per atom

=====

DFT (GGA-PBE) results for a geometry-optimized Na3PbS3 structure.

Lattice parameters (Å, degrees): 7.9407 7.9407 7.9407 60.24 60.24 60.24
Positions (direct):
1 Na 0.3791 0.1234 0.8197
2 Na 0.8197 0.3791 0.1234
3 Na 0.1234 0.8197 0.3791
4 Na 0.1803 0.6209 0.8766
5 Na 0.6209 0.8766 0.1803
6 Na 0.8766 0.1803 0.6209
7 S 0.4672 0.7080 0.0613
8 S 0.0613 0.4672 0.7080
9 S 0.2920 0.9387 0.5328
10 S 0.9387 0.5328 0.2920
11 S 0.7080 0.0613 0.4672
12 S 0.5328 0.2920 0.9387
13 Pb 0.3296 0.3296 0.3296
14 Pb 0.6704 0.6704 0.6704

Calculated values
- Energy above the most stable polymorph in this dataset: 10 meV per atom
- Formation energy from raw total energies: -0.736 eV/atom
- Total energy: -3.600 eV per atom

=====

DFT (GGA-PBE) results for a geometry-optimized Na3PbS3 structure.

Lattice parameters (Å, degrees): 7.6979 7.6979 7.2528 91.93 91.93 115.99
Positions (direct):
1 Na 0.7973 0.2027 0.5000
2 Na 0.7439 0.2561 0.0000
3 Na 0.2561 0.7439 0.0000
4 Na 0.6147 0.6147 0.3674
5 Na 0.3853 0.3853 0.6326
6 Na 0.2027 0.7973 0.5000
7 S 0.5008 0.1986 0.2771
8 S 0.9486 0.9486 0.3609
9 S 0.0514 0.0514 0.6391
10 S 0.8014 0.4992 0.7229
11 S 0.1986 0.5008 0.2771
12 S 0.4992 0.8014 0.7229
13 Pb 0.7992 0.7992 0.8900
14 Pb 0.2008 0.2008 0.1100

Calculated values
- Energy above the most stable polymorph in this dataset: 0 meV per atom
- Formation energy from raw total energies: -0.746 eV/atom
- Total energy: -3.610 eV per atom

=====

DFT (GGA-PBE) results for a geometry-optimized Na3PbS8 structure.

Lattice parameters (Å, degrees): 9.1919 7.3443 6.0125 73.59 78.32 122.88
Positions (direct):
1 S 0.1651 0.5102 0.8185
2 S 0.8340 0.0000 0.6587
3 S 0.9537 0.4938 0.0304
4 S 0.3374 0.0000 0.1747
5 S 0.0432 0.0000 0.4568
6 S 0.5414 0.0000 0.9658
7 S 0.6548 0.4898 0.3287
8 S 0.4599 0.5062 0.5243
9 Pb 0.0674 0.0000 0.9601
10 Na 0.5693 0.0000 0.4609
11 Na 0.1873 0.5005 0.3103
12 Na 0.6868 0.4995 0.8108

Calculated values
- Formation energy from raw total energies: -0.385 eV/atom
- Total energy: -3.775 eV per atom

=====

DFT (GGA-PBE) results for a geometry-optimized NaPb4S5 structure.

Lattice parameters (Å, degrees): 4.1754 5.8502 11.1165 105.26 100.82 90.00
Positions (direct):
1 Pb 0.8043 0.8043 0.6085
2 Pb 0.4039 0.4039 0.8077
3 Pb 0.1957 0.1957 0.3915
4 Pb 0.5961 0.5961 0.1923
5 S 0.3984 0.8984 0.7968
6 S 0.0000 0.5000 0.0000
7 S 0.1970 0.6970 0.3941
8 S 0.8030 0.3030 0.6059
9 S 0.6016 0.1016 0.2032
10 Na 0.0000 0.0000 0.0000

Calculated values
- Formation energy from raw total energies: -0.582 eV/atom
- Total energy: -4.261 eV per atom

=====

DFT (GGA-PBE) results for a geometry-optimized NaPbS3 structure.

Lattice parameters (Å, degrees): 4.9899 4.9899 4.9899 90.00 90.00 90.00
Site moments in Bohr magnetons follow the coordinates.
Positions (direct):
1 Na 0.0000 0.0000 0.0000  0.01
2 S 0.5000 0.0000 0.0000  0.57
3 S 0.0000 0.5000 0.0000  0.68
4 S 0.0000 0.0000 0.5000  0.55
5 Pb 0.5000 0.5000 0.5000  -0.02

Calculated values
- Energy above the most stable polymorph in this dataset: 312 meV per atom
- Formation energy from raw total energies: 0.400 eV/atom
- Total energy: -3.082 eV per atom